VASP calculation (GGA-PBE) on crystalline CaNi2Ag at its relaxed geometry.

Lattice parameters (Å, degrees): 4.300 4.300 18.038 90.00 90.00 90.00
Space group I-42d (No. 122)
One atom of each set of equivalent atoms:
1 Ca 0.000 0.000 0.000
2 Ni 0.085 0.250 0.625
3 Ag 0.000 0.000 0.500

Summary:
Formation enthalpy at 0 K in eV per atom: 0.26
Mass density in g cm⁻³: 5.28
Total energy in eV per atom: -3.84
Volume in Å³ per cell: 334

VASP calculation (GGA-PBE) on crystalline Ca2Ni2Ag at its relaxed geometry.

Lattice parameters (Å, degrees): 3.466 3.466 17.484 90.00 90.00 90.00
Space group I4/mmm (No. 139)
One atom of each set of equivalent atoms:
1 Ca 0.000 0.000 0.120
2 Ni 0.000 0.500 0.250
3 Ag 0.000 0.000 0.500

Summary:
Formation enthalpy at 0 K in eV per atom: -0.02
Energy above the lowest structure with this stoichiometry in kJ/mol of formula units: 49
Mass density in g cm⁻³: 4.83
Total energy in eV per atom: -3.70
Volume in Å³ per cell: 210

VASP calculation (GGA-PBE) on crystalline CaNi2Ag at its relaxed geometry.

Lattice parameters (Å, degrees): 3.339 3.339 6.140 90.00 90.00 90.00
Space group P4/mmm (No. 123)
One atom of each set of equivalent atoms:
1 Ca 0.000 0.000 0.000
2 Ni 0.500 0.500 0.295
3 Ag 0.000 0.000 0.500

Summary:
Formation enthalpy at 0 K in eV per atom: 0.19
Mass density in g cm⁻³: 6.44
Total energy in eV per atom: -3.92
Volume in Å³ per cell: 68

VASP calculation (GGA-PBE) on crystalline CaNi2Ag at its relaxed geometry.

Lattice parameters (Å, degrees): 4.118 4.118 3.841 90.00 90.00 90.00
Space group P4/mmm (No. 123)
One atom of each set of equivalent atoms:
1 Ca 0.000 0.000 0.000
2 Ni 0.000 0.500 0.500
3 Ag 0.500 0.500 0.000

Summary:
Formation enthalpy at 0 K in eV per atom: 0.11
Mass density in g cm⁻³: 6.77
Total energy in eV per atom: -3.99
Volume in Å³ per cell: 65

VASP calculation (GGA-PBE) on crystalline Ca8NiAg2 at its relaxed geometry.

Lattice parameters (Å, degrees): 22.712 4.161 7.857 90.00 92.08 90.00
Space group C2/m (No. 12)
One atom of each set of equivalent atoms:
1 Ca 0.007 0.000 0.232
2 Ca 0.104 0.500 0.525
3 Ca 0.122 0.500 0.013
4 Ca 0.234 0.000 0.709
5 Ni 0.000 0.500 0.000
6 Ag 0.164 0.000 0.302

Summary:
Formation enthalpy at 0 K in eV per atom: -0.13
Mass density in g cm⁻³: 2.66
Total energy in eV per atom: -2.63
Volume in Å³ per cell: 742

VASP calculation (GGA-PBE) on crystalline Ca3NiAg at its relaxed geometry.

Lattice parameters (Å, degrees): 8.149 4.128 8.626 90.00 109.11 90.00
Space group P2_1/m (No. 11)
One atom of each set of equivalent atoms:
1 Ca 0.078 0.250 0.240
2 Ca 0.303 0.250 0.920
3 Ca 0.335 0.750 0.584
4 Ni 0.048 0.250 0.567
5 Ag 0.364 0.750 0.205

Summary:
Formation enthalpy at 0 K in eV per atom: -0.21
Energy above the lowest structure with this stoichiometry in kJ/mol of formula units: 0
Mass density in g cm⁻³: 3.47
Total energy in eV per atom: -3.13
Volume in Å³ per cell: 274

VASP calculation (GGA-PBE) on crystalline CaNi2Ag at its relaxed geometry.

Lattice parameters (Å, degrees): 6.447 6.447 6.447 90.00 90.00 90.00
Space group F-43m (No. 216)
One atom of each set of equivalent atoms:
1 Ca 0.000 0.000 0.000
2 Ni 0.000 0.000 0.500
3 Ni 0.250 0.250 0.750
4 Ag 0.250 0.250 0.250

Summary:
Formation enthalpy at 0 K in eV per atom: 0.19
Mass density in g cm⁻³: 6.58
Total energy in eV per atom: -3.91
Volume in Å³ per cell: 268

VASP calculation (GGA-PBE) on crystalline Ca8Ni2Ag at its relaxed geometry.

Lattice parameters (Å, degrees): 6.636 7.316 7.327 88.76 78.38 87.62
Space group P-1 (No. 2)
One atom of each set of equivalent atoms:
1 Ca 0.165 0.111 0.288
2 Ca 0.217 0.230 0.804
3 Ca 0.245 0.603 0.435
4 Ca 0.324 0.711 0.911
5 Ni 0.045 0.454 0.146
6 Ag 0.500 0.000 0.500

Summary:
Formation enthalpy at 0 K in eV per atom: -0.11
Mass density in g cm⁻³: 2.60
Total energy in eV per atom: -2.87
Volume in Å³ per cell: 348